Record 1
The following is a DFT calculation (GGA-PBE) of a relaxed structure of CeY4Tm3.

* energy above the lowest structure with this stoichiometry: 0.00 eV/f.u.
* N(E_F): 1.937 states/eV per atom
* energy of formation: 0.032 eV per atom
* M_tot: 2.37 μB/cell

Unit cell a=6.233 b=7.229 c=11.250 alpha=90.00 beta=90.00 gamma=90.00
Sites, in units of the cell vectors:
Ce 0.149 0.379 0.000
Ce 0.649 0.621 0.500
Y 0.143 0.871 0.000
Y 0.645 0.129 0.000
Y 0.986 0.128 0.250
Y 0.486 0.872 0.250
Y 0.145 0.871 0.500
Y 0.643 0.129 0.500
Y 0.486 0.872 0.750
Y 0.986 0.128 0.750
Tm 0.650 0.622 0.000
Tm 0.978 0.621 0.250
Tm 0.478 0.379 0.250
Tm 0.150 0.378 0.500
Tm 0.478 0.379 0.750
Tm 0.978 0.621 0.750



Record 2
The following is a DFT calculation (GGA-PBE) of a relaxed structure of Ce2Y5Tm12.

* N(E_F): 1.609 states/eV per atom
* energy of formation: 0.141 eV per atom
* M_tot: 1.16 μB/cell

Unit cell a=9.082 b=12.087 c=8.539 alpha=132.45 beta=90.00 gamma=112.07
Sites, in units of the cell vectors:
Ce 0.651 0.000 0.000
Ce 0.349 0.000 0.000
Y 0.285 0.569 0.606
Y 0.232 0.464 0.901
Y 0.000 0.000 0.500
Y 0.768 0.536 0.099
Y 0.715 0.431 0.394
Tm 0.067 0.134 0.263
Tm 0.035 0.710 0.949
Tm 0.676 0.710 0.949
Tm 0.176 0.735 0.420
Tm 0.559 0.735 0.420
Tm 0.558 0.116 0.773
Tm 0.442 0.884 0.227
Tm 0.824 0.265 0.580
Tm 0.441 0.265 0.580
Tm 0.965 0.290 0.051
Tm 0.324 0.290 0.051
Tm 0.933 0.866 0.737